DFT (PBE) results for a relaxed Pr2DyNi4Sn4 crystal.

## Properties
Total moment ... 0.00 μB per atom
Total DFT energy (no corrections) ... -5.30 eV per atom

```
data_Pr2DyNi4Sn4
_chemical_formula_sum 'Pr4 Dy2 Ni8 Sn8'
_cell_length_a 4.538
_cell_length_b 6.911
_cell_length_c 14.722
_cell_angle_alpha 90.00
_cell_angle_beta 90.00
_cell_angle_gamma 90.00
_space_group_name_H-M_alt 'I m m m'
_space_group_IT_number 71
_space_group_name_Hall '-I 2 2'
loop_
_atom_site_label
_atom_site_type_symbol
_atom_site_fract_x
_atom_site_fract_y
_atom_site_fract_z
_atom_site_occupancy
Pr1 Pr 0.000 0.000 0.133 1
Dy1 Dy 0.000 0.500 0.000 1
Ni1 Ni 0.000 0.184 0.328 1
Sn1 Sn 0.000 0.292 0.500 1
Sn2 Sn 0.000 0.500 0.215 1
```